[1]
TcBi3Te: optimized geometry, PBE.

Lattice parameters (Å, degrees): 5.333 5.333 5.333 90.00 90.00 90.00
Fractional positions:
Tc (0.000, 0.000, 0.000)
Bi (0.000, 0.000, 0.500)
Bi (0.000, 0.500, 0.000)
Bi (0.500, 0.000, 0.000)
Te (0.500, 0.500, 0.500)

---

[2]
TcBi2Te: optimized geometry, PBE.

Lattice parameters (Å, degrees): 8.059 8.059 8.059 130.93 130.93 71.93
Fractional positions:
Tc (0.000, 0.000, 0.000)
Tc (0.750, 0.250, 0.500)
Bi (0.059, 0.625, 0.934)
Bi (0.375, 0.309, 0.434)
Bi (0.691, 0.125, 0.066)
Bi (0.875, 0.941, 0.566)
Te (0.250, 0.750, 0.500)
Te (0.500, 0.500, 0.000)

---

[3]
Th8Tc3BiTe4: optimized geometry, PBE.

Lattice parameters (Å, degrees): 9.083 9.083 9.083 57.01 57.01 57.01
Fractional positions:
Th (0.204, 0.751, 0.751)
Th (0.235, 0.235, 0.235)
Th (0.249, 0.249, 0.796)
Th (0.249, 0.796, 0.249)
Th (0.751, 0.204, 0.751)
Th (0.751, 0.751, 0.204)
Th (0.765, 0.765, 0.765)
Th (0.796, 0.249, 0.249)
Tc (0.000, 0.000, 0.500)
Tc (0.000, 0.500, 0.000)
Tc (0.500, 0.000, 0.000)
Bi (0.500, 0.500, 0.500)
Te (0.000, 0.000, 0.000)
Te (0.000, 0.500, 0.500)
Te (0.500, 0.000, 0.500)
Te (0.500, 0.500, 0.000)

---

[4]
VTcBiTe2: optimized geometry, PBE.

Lattice parameters (Å, degrees): 5.936 5.936 5.092 90.00 90.00 90.00
Fractional positions:
V (0.000, 0.000, 0.000)
Tc (0.500, 0.500, 0.000)
Bi (0.000, 0.000, 0.500)
Te (0.000, 0.500, 0.500)
Te (0.500, 0.000, 0.500)

---

[5]
TcBi2TeW: optimized geometry, PBE.

Lattice parameters (Å, degrees): 5.314 5.314 5.086 90.00 90.00 90.00
Fractional positions:
Tc (0.000, 0.000, 0.000)
Bi (0.000, 0.500, 0.000)
Bi (0.500, 0.000, 0.000)
Te (0.000, 0.000, 0.500)
W (0.500, 0.500, 0.500)

---

[6]
Th8Tc3Bi2: optimized geometry, PBE.

Computed properties:
energy above the lowest structure with this stoichiometry = 14.1 meV/atom

Lattice parameters (Å, degrees): 9.209 9.209 7.015 103.36 103.36 52.33
Fractional positions:
Th (0.093, 0.093, 0.396)
Th (0.153, 0.650, 0.106)
Th (0.350, 0.847, 0.894)
Th (0.402, 0.402, 0.608)
Th (0.598, 0.598, 0.392)
Th (0.650, 0.153, 0.106)
Th (0.847, 0.350, 0.894)
Th (0.907, 0.907, 0.604)
Tc (0.247, 0.753, 0.500)
Tc (0.500, 0.500, 0.000)
Tc (0.753, 0.247, 0.500)
Bi (0.249, 0.249, 0.166)
Bi (0.751, 0.751, 0.834)

---

[7]
Th8Tc3Bi2: optimized geometry, PBE.

Computed properties:
energy above the lowest structure with this stoichiometry = 0.0 meV/atom

Lattice parameters (Å, degrees): 9.615 9.615 4.872 90.00 90.00 116.99
Fractional positions:
Th (0.102, 0.898, 0.000)
Th (0.145, 0.358, 0.500)
Th (0.358, 0.145, 0.500)
Th (0.391, 0.609, 0.000)
Th (0.609, 0.391, 0.000)
Th (0.642, 0.855, 0.500)
Th (0.855, 0.642, 0.500)
Th (0.898, 0.102, 0.000)
Tc (0.254, 0.254, 0.000)
Tc (0.500, 0.500, 0.500)
Tc (0.746, 0.746, 0.000)
Bi (0.246, 0.754, 0.500)
Bi (0.754, 0.246, 0.500)

---

[8]
Th2TcBi: optimized geometry, PBE.

Computed properties:
energy above the lowest structure with this stoichiometry = 116.1 meV/atom

Lattice parameters (Å, degrees): 6.587 6.253 11.493 90.00 103.57 90.00
Fractional positions:
Th (0.158, 0.175, 0.114)
Th (0.158, 0.825, 0.614)
Th (0.269, 0.319, 0.824)
Th (0.269, 0.681, 0.324)
Th (0.731, 0.319, 0.676)
Th (0.731, 0.681, 0.176)
Th (0.842, 0.175, 0.386)
Th (0.842, 0.825, 0.886)
Tc (0.116, 0.325, 0.583)
Tc (0.116, 0.675, 0.083)
Tc (0.884, 0.325, 0.917)
Tc (0.884, 0.675, 0.417)
Bi (0.350, 0.190, 0.411)
Bi (0.350, 0.810, 0.911)
Bi (0.650, 0.190, 0.089)
Bi (0.650, 0.810, 0.589)

---

no.,VASP energy (eV per atom)
1,-4.636
2,-4.646
3,-7.320
4,-4.095
5,-5.329
6,-7.643
7,-7.657
8,-7.511